No. 1
First-principles (PBE) data for Sc7Ru6 after structural relaxation, as listed in the Alexandria database.

Computed properties:
crystal system	trigonal
ΔE_f	0.306	eV per atom
DOS(E_F)	11.407	states/eV/f.u.
electronic total energy	-96.0	eV for the cell shown
space-group type	No. 166

Cell lengths 9.1817, 9.1817, 9.1817 Å; angles 35.94, 35.94, 35.94 degrees
Sites, in units of the cell vectors:
Sc (0.0000, 0.0000, 0.0000)
Sc (0.0819, 0.0819, 0.5744)
Sc (0.0819, 0.5744, 0.0819)
Sc (0.4256, 0.9181, 0.9181)
Sc (0.5744, 0.0819, 0.0819)
Sc (0.9181, 0.4256, 0.9181)
Sc (0.9181, 0.9181, 0.4256)
Ru (0.1671, 0.1671, 0.1671)
Ru (0.3566, 0.3566, 0.3566)
Ru (0.4514, 0.4514, 0.4514)
Ru (0.5486, 0.5486, 0.5486)
Ru (0.6434, 0.6434, 0.6434)
Ru (0.8329, 0.8329, 0.8329)

No. 2
First-principles (PBE) data for Sc5Ru4 after structural relaxation, as listed in the Alexandria database.

Computed properties:
crystal system	hexagonal
ΔE_f	-0.394	eV per atom
DOS(E_F)	4.485	states/eV/f.u.
electronic total energy	-144.6	eV for the cell shown
polymorph energy (0 for the lowest one)	0	kJ/mol of formula units
space-group type	No. 193

Cell lengths 7.9117, 7.9117, 5.8695 Å; angles 90.00, 90.00, 120.00 degrees
Sites, in units of the cell vectors:
Sc (0.0000, 0.2757, 0.2500)
Sc (0.0000, 0.7243, 0.7500)
Sc (0.2757, 0.0000, 0.2500)
Sc (0.2757, 0.2757, 0.7500)
Sc (0.3333, 0.6667, 0.0000)
Sc (0.3333, 0.6667, 0.5000)
Sc (0.6667, 0.3333, 0.0000)
Sc (0.6667, 0.3333, 0.5000)
Sc (0.7243, 0.0000, 0.7500)
Sc (0.7243, 0.7243, 0.2500)
Ru (0.0000, 0.0000, 0.0000)
Ru (0.0000, 0.0000, 0.5000)
Ru (0.0000, 0.3804, 0.7500)
Ru (0.0000, 0.6196, 0.2500)
Ru (0.3804, 0.0000, 0.7500)
Ru (0.3804, 0.3804, 0.2500)
Ru (0.6196, 0.0000, 0.2500)
Ru (0.6196, 0.6196, 0.7500)

No. 3
First-principles (PBE) data for Sc3Ru after structural relaxation, as listed in the Alexandria database.

Computed properties:
crystal system	monoclinic
ΔE_f	-0.194	eV per atom
DOS(E_F)	5.424	states/eV/f.u.
electronic total energy	-29.0	eV for the cell shown
space-group type	No. 10

Cell lengths 3.2533, 4.2987, 5.9625 Å; angles 90.00, 105.16, 90.00 degrees
Sites, in units of the cell vectors:
Sc (0.0000, 0.0000, 0.0000)
Sc (0.3297, 0.5000, 0.7206)
Sc (0.6703, 0.5000, 0.2794)
Ru (0.5000, 0.0000, 0.5000)

No. 4
First-principles (PBE) data for Sc3Ru after structural relaxation, as listed in the Alexandria database.

Computed properties:
crystal system	trigonal
ΔE_f	-0.038	eV per atom
DOS(E_F)	5.778	states/eV/f.u.
electronic total energy	-85.3	eV for the cell shown
space-group type	No. 166

Cell lengths 9.3459, 9.3459, 3.0948 Å; angles 90.00, 90.00, 120.00 degrees
Sites, in units of the cell vectors:
Sc (0.0000, 0.5000, 0.0000)
Sc (0.1667, 0.3333, 0.3333)
Sc (0.1667, 0.8333, 0.3333)
Sc (0.3333, 0.1667, 0.6667)
Sc (0.5000, 0.0000, 0.0000)
Sc (0.5000, 0.5000, 0.0000)
Sc (0.6667, 0.8333, 0.3333)
Sc (0.8333, 0.1667, 0.6667)
Sc (0.8333, 0.6667, 0.6667)
Ru (0.0000, 0.0000, 0.0000)
Ru (0.3333, 0.6667, 0.6667)
Ru (0.6667, 0.3333, 0.3333)